This record from Alexandria describes a geometry-optimized CePm3Zn8 structure. The functional is PBE-GGA.

Structure (extended XYZ):
```
12
Lattice="-0.371 -5.620 -0.018 0.556 2.770 4.873 -8.699 0.571 0.668" Properties=species:S:1:pos:R:3 pbc="T T T"
Zn -6.161 0.389 5.362
Zn 0.234 -0.026 3.244
Zn -2.050 0.129 1.773
Zn -6.253 1.811 2.939
Zn -6.438 -0.994 2.930
Zn -1.957 -1.309 4.223
Zn -1.770 1.527 4.232
Zn -4.099 0.259 3.576
Pm -0.566 -2.791 1.651
Pm -8.127 0.534 0.624
Pm -3.929 -2.570 1.909
Ce -4.875 0.320 0.374
```

Results
Volume, Å³ per atom: 20.0
Energy of formation from the pure elements, kJ/mol of formula units: -339
Space-group type: P3m1 (156)
ΔE to the lowest computed polymorph, meV per atom: 19
Electronic total energy, Ha/atom: -0.1038